No. 1
Entry from the Alexandria database: NbTl2Cl5 after structural relaxation (PBE).

Lattice parameters (Å, degrees): 7.8898 7.9003 7.5068 121.20 129.98 84.12
Last column: nearest neighbours and their distance in Å.
Fractional positions:
1 Cl 0.8538 0.2429 0.0968  1 Nb 2.38
2 Cl 0.1920 0.1688 0.9265  1 Nb 2.55
3 Cl 0.7573 0.7346 0.9264  1 Nb 2.55
4 Cl 0.7612 0.6801 0.4418  1 Nb 2.39
5 Cl 0.3396 0.9505 0.2897  1 Nb 2.38
6 Tl 0.1761 0.7482 0.4683  5 Cl 3.13-3.41
7 Tl 0.7208 0.2925 0.4688  5 Cl 3.13-3.41
8 Nb 0.9763 0.9594 0.9357  5 Cl 2.38-2.55

## Properties
- Space-group type: P1 (1)
- Electronic total energy: -4.04 eV/atom

No. 2
Entry from the Alexandria database: Nb2Tl5Cl12 after structural relaxation (PBE).

Lattice parameters (Å, degrees): 7.0711 9.4265 11.0345 103.92 90.00 112.03
Last column: nearest neighbours and their distance in Å.
Fractional positions:
1 Cl 0.0994 0.7202 0.9395  1 Nb 2.37
2 Cl 0.4027 0.3081 0.5749  4 Tl 2.90-3.14
3 Cl 0.0946 0.6919 0.4251  4 Tl 2.90-3.14
4 Cl 0.5012 0.0024 0.8512  2 Nb 2.64
5 Cl 0.9006 0.2798 0.0605  1 Nb 2.37
6 Cl 0.9981 0.9963 0.1766  2 Nb 2.45
7 Cl 0.6208 0.7202 0.9395  1 Nb 2.37
8 Cl 0.3792 0.2798 0.0605  1 Nb 2.37
9 Cl 0.5973 0.6919 0.4251  4 Tl 2.90-3.14
10 Cl 0.4988 0.9976 0.1488  2 Nb 2.64
11 Cl 0.9054 0.3081 0.5749  4 Tl 2.90-3.14
12 Cl 0.0019 0.0037 0.8234  2 Nb 2.45
13 Tl 0.6956 0.3913 0.3728  4 Cl 3.08-3.09
14 Tl 0.6823 0.3646 0.7897  2 Cl 2.90
15 Tl 0.0000 0.0000 0.5000  4 Cl 3.14
16 Tl 0.3177 0.6354 0.2103  2 Cl 2.90
17 Tl 0.3044 0.6087 0.6272  4 Cl 3.08-3.09
18 Nb 0.7909 0.0000 0.0000  6 Cl 2.37-2.64
19 Nb 0.2091 0.0000 0.0000  6 Cl 2.37-2.64

## Properties
- Space-group type: C2/m (12)
- Electronic total energy: -3.95 eV/atom

No. 3
Entry from the Alexandria database: Nb6Tl2VCl18 after structural relaxation (PBE).

Lattice parameters (Å, degrees): 10.0682 10.0682 10.0682 55.11 55.11 55.11
Last column: nearest neighbours and their distance in Å.
Fractional positions:
1 Cl 0.2908 0.0350 0.8464  1 V 2.54, 1 Nb 2.68
2 Cl 0.8472 0.5571 0.4296  2 Nb 2.47-2.48
3 Cl 0.1528 0.4429 0.5704  2 Nb 2.47-2.48
4 Cl 0.0817 0.7866 0.6291  2 Nb 2.47
5 Cl 0.1536 0.7092 0.9650  1 V 2.54, 1 Nb 2.68
6 Cl 0.4296 0.8472 0.5571  2 Nb 2.47-2.48
7 Cl 0.7092 0.9650 0.1536  1 V 2.54, 1 Nb 2.68
8 Cl 0.5704 0.1528 0.4429  2 Nb 2.47-2.48
9 Cl 0.9183 0.2134 0.3709  2 Nb 2.47
10 Cl 0.9650 0.1536 0.7092  1 V 2.54, 1 Nb 2.68
11 Cl 0.6291 0.0817 0.7866  2 Nb 2.47
12 Cl 0.7866 0.6291 0.0817  2 Nb 2.47
13 Cl 0.8464 0.2908 0.0350  1 V 2.54, 1 Nb 2.68
14 Cl 0.4429 0.5704 0.1528  2 Nb 2.47-2.48
15 Cl 0.5571 0.4296 0.8472  2 Nb 2.47-2.48
16 Cl 0.0350 0.8464 0.2908  1 V 2.54, 1 Nb 2.68
17 Cl 0.3709 0.9183 0.2134  2 Nb 2.47
18 Cl 0.2134 0.3709 0.9183  2 Nb 2.47
19 Nb 0.7014 0.3463 0.5942  5 Cl 2.47-2.68
20 Nb 0.3463 0.5942 0.7014  5 Cl 2.47-2.68
21 Nb 0.6537 0.4058 0.2986  5 Cl 2.47-2.68
22 Nb 0.5942 0.7014 0.3463  5 Cl 2.47-2.68
23 Nb 0.2986 0.6537 0.4058  5 Cl 2.47-2.68
24 Nb 0.4058 0.2986 0.6537  5 Cl 2.47-2.68
25 Tl 0.2776 0.2776 0.2776  12 Cl 3.47-3.60
26 Tl 0.7224 0.7224 0.7224  12 Cl 3.47-3.60
27 V 0.0000 0.0000 0.0000  6 Cl 2.54

## Properties
- Space-group type: R-3 (148)
- Electronic total energy: -5.19 eV/atom

No. 4
Entry from the Alexandria database: YNbTlCl2 after structural relaxation (PBE).

Lattice parameters (Å, degrees): 5.4417 6.1480 5.4417 90.00 90.00 90.00
Last column: nearest neighbours and their distance in Å.
Fractional positions:
1 Tl 0.0000 0.0000 0.0000  4 Cl 2.72
2 Nb 0.5000 0.5000 0.5000  4 Y 3.85, 8 Cl 4.11
3 Cl 0.0000 0.0000 0.5000  2 Tl 2.72
4 Cl 0.5000 0.0000 0.0000  2 Tl 2.72
5 Y 0.0000 0.5000 0.0000  2 Tl 3.07

## Properties
- Space-group type: P4/mmm (123)
- Electronic total energy: -3.71 eV/atom

No. 5
Entry from the Alexandria database: ZrNb2TlCl after structural relaxation (PBE).

Lattice parameters (Å, degrees): 5.1211 4.9106 5.1211 90.00 90.00 90.00
Last column: nearest neighbours and their distance in Å.
Fractional positions:
1 Zr 0.0000 0.0000 0.0000  2 Cl 2.46, 4 Nb 2.56
2 Cl 0.0000 0.5000 0.0000  2 Zr 2.46
3 Nb 0.0000 0.0000 0.5000  2 Zr 2.56
4 Nb 0.5000 0.0000 0.0000  2 Zr 2.56
5 Tl 0.5000 0.5000 0.5000  8 Nb 3.55, 4 Cl 3.62

## Properties
- Space-group type: P4/mmm (123)
- Electronic total energy: -5.48 eV/atom

No. 6
Entry from the Alexandria database: Nb3VCl after structural relaxation (PBE).

Lattice parameters (Å, degrees): 4.5541 4.5541 4.5541 90.00 90.00 90.00
Last column: nearest neighbours and their distance in Å.
Fractional positions:
1 Nb 0.0000 0.5000 0.0000  2 Cl 2.28
2 Nb 0.0000 0.0000 0.5000  2 Cl 2.28
3 Nb 0.5000 0.0000 0.0000  2 Cl 2.28
4 Cl 0.0000 0.0000 0.0000  6 Nb 2.28
5 V 0.5000 0.5000 0.5000  12 Nb 3.22

## Properties
- Space-group type: Pm-3m (221)
- Energy relative to the lowest polymorph listed for this composition: 0 meV per atom
- Electronic total energy: -7.48 eV/atom

No. 7
Entry from the Alexandria database: NbV5Cl12 after structural relaxation (PBE).

Lattice parameters (Å, degrees): 6.2097 6.2209 12.9499 89.96 89.93 60.06
Last column: nearest neighbours and their distance in Å.
Fractional positions:
1 V 0.8333 0.3334 0.5000  6 Cl 2.48
2 V 0.3336 0.3329 0.0000  6 Cl 2.49
3 V 0.6665 0.6671 0.0000  6 Cl 2.49
4 V 0.1667 0.6667 0.5000  6 Cl 2.48
5 V 0.5000 0.0000 0.5000  6 Cl 2.48
6 Cl 0.8340 0.0000 0.3948  3 V 2.48
7 Cl 0.9998 0.3475 0.8893  2 V 2.49, 1 Nb 2.59
8 Cl 0.4994 0.3333 0.6051  3 V 2.48
9 Cl 0.5006 0.6667 0.3949  3 V 2.48
10 Cl 0.1660 0.0000 0.6052  3 V 2.48
11 Cl 0.0002 0.6525 0.1107  2 V 2.49, 1 Nb 2.59
12 Cl 0.1673 0.3333 0.3949  3 V 2.48
13 Cl 0.3474 0.6525 0.8893  2 V 2.49, 1 Nb 2.59
14 Cl 0.8327 0.6667 0.6051  3 V 2.48
15 Cl 0.6526 0.0000 0.8891  2 V 2.49, 1 Nb 2.59
16 Cl 0.6526 0.3475 0.1107  2 V 2.49, 1 Nb 2.59
17 Cl 0.3474 0.0000 0.1109  2 V 2.49, 1 Nb 2.59
18 Nb 0.0000 0.0000 0.0000  6 Cl 2.59

## Properties
- Space-group type: C2/m (12)
- Electronic total energy: -5.41 eV/atom

No. 8
Entry from the Alexandria database: Nb2V2Cl7 after structural relaxation (PBE).

Lattice parameters (Å, degrees): 6.7065 6.7065 14.4207 115.25 115.25 84.94
Last column: nearest neighbours and their distance in Å.
Fractional positions:
1 V 0.9164 0.8208 0.8462  5 Cl 2.40-2.54
2 V 0.1792 0.0836 0.6538  5 Cl 2.40-2.54
3 V 0.8208 0.9164 0.3462  5 Cl 2.40-2.54
4 V 0.0836 0.1792 0.1538  5 Cl 2.40-2.54
5 Cl 0.5123 0.1183 0.6283  1 V 2.46, 2 Nb 2.62-2.63
6 Cl 0.4877 0.8817 0.3717  1 V 2.46, 2 Nb 2.62-2.63
7 Cl 0.8817 0.4877 0.8717  1 V 2.46, 2 Nb 2.62-2.63
8 Cl 0.6563 0.5559 0.1723  2 Nb 2.49, 1 V 2.51
9 Cl 0.5559 0.6563 0.6723  2 Nb 2.49, 1 V 2.51
10 Cl 0.3437 0.4441 0.8277  2 Nb 2.49, 1 V 2.51
11 Cl 0.9354 0.2635 0.5327  2 V 2.49-2.54, 1 Nb 2.58
12 Cl 0.7365 0.0646 0.9673  2 V 2.49-2.54, 1 Nb 2.58
13 Cl 0.0646 0.7365 0.4673  2 V 2.49-2.54, 1 Nb 2.58
14 Cl 0.4441 0.3437 0.3277  2 Nb 2.49, 1 V 2.51
15 Cl 0.2635 0.9354 0.0327  2 V 2.49-2.54, 1 Nb 2.58
16 Cl 0.9285 0.0715 0.2500  2 V 2.40
17 Cl 0.0715 0.9285 0.7500  2 V 2.40
18 Cl 0.1183 0.5123 0.1283  1 V 2.46, 2 Nb 2.62-2.63
19 Nb 0.3068 0.5301 0.0055  5 Cl 2.49-2.63, 1 Nb 2.65
20 Nb 0.6932 0.4699 0.9945  5 Cl 2.49-2.63, 1 Nb 2.65
21 Nb 0.4699 0.6932 0.4945  5 Cl 2.49-2.63, 1 Nb 2.65
22 Nb 0.5301 0.3068 0.5055  5 Cl 2.49-2.63, 1 Nb 2.65

## Properties
- Space-group type: C2/c (15)
- Electronic total energy: -5.30 eV/atom

No. 9
Entry from the Alexandria database: NbVCl3 after structural relaxation (PBE).

Lattice parameters (Å, degrees): 4.9456 4.9456 4.9456 90.00 90.00 90.00
Last column: nearest neighbours and their distance in Å.
Fractional positions:
1 Cl 0.0000 0.5000 0.0000  2 Nb 2.47
2 Cl 0.5000 0.0000 0.0000  2 Nb 2.47
3 Cl 0.0000 0.0000 0.5000  2 Nb 2.47
4 Nb 0.0000 0.0000 0.0000  6 Cl 2.47
5 V 0.5000 0.5000 0.5000  12 Cl 3.50

## Properties
- Space-group type: Pm-3m (221)
- Electronic total energy: -4.85 eV/atom

No. 10
Entry from the Alexandria database: Nb3VCl9 after structural relaxation (PBE).

Lattice parameters (Å, degrees): 8.7162 9.2494 11.0319 75.35 66.73 61.89
Last column: nearest neighbours and their distance in Å.
Fractional positions:
1 V 0.0099 0.5740 0.9709  4 Cl 2.33-2.49
2 V 0.4451 0.0740 0.4709  4 Cl 2.33-2.49
3 Cl 0.8244 0.3460 0.5080  2 Nb 2.46-2.48
4 Cl 0.0255 0.6007 0.5516  1 Nb 2.35
5 Cl 0.7048 0.7853 0.0642  1 V 2.43, 1 Nb 2.70
6 Cl 0.5513 0.4989 0.2438  2 Nb 2.42-2.47
7 Cl 0.3265 0.2615 0.3098  1 V 2.33
8 Cl 0.4457 0.2853 0.5642  1 V 2.43, 1 Nb 2.70
9 Cl 0.1023 0.7615 0.8098  1 V 2.33
10 Cl 0.1605 0.1007 0.6842  2 Nb 2.49-2.51, 1 V 2.62
11 Cl 0.1105 0.0772 0.2562  2 Nb 2.45-2.49
12 Cl 0.4154 0.8411 0.4226  1 V 2.49, 1 Nb 2.52
13 Cl 0.0546 0.6007 0.1842  2 Nb 2.49-2.51, 1 V 2.62
14 Cl 0.5561 0.5772 0.7562  2 Nb 2.45-2.49
15 Cl 0.8222 0.1007 0.0516  1 Nb 2.35
16 Cl 0.7680 0.9387 0.4018  1 V 2.35, 1 Nb 2.50
17 Cl 0.3209 0.3411 0.9226  1 V 2.49, 1 Nb 2.52
18 Cl 0.7060 0.9989 0.7438  2 Nb 2.42-2.47
19 Cl 0.8915 0.4387 0.9018  1 V 2.35, 1 Nb 2.50
20 Cl 0.3216 0.8460 0.0080  2 Nb 2.46-2.48
21 Nb 0.0584 0.8616 0.2092  4 Cl 2.45-2.51, 2 Nb 2.57-2.67
22 Nb 0.3705 0.7997 0.2239  5 Cl 2.47-2.70, 2 Nb 2.57-2.75
23 Nb 0.2236 0.5722 0.3316  4 Cl 2.35-2.62
24 Nb 0.8726 0.0722 0.8316  4 Cl 2.35-2.62
25 Nb 0.6059 0.2997 0.7239  5 Cl 2.47-2.70, 2 Nb 2.57-2.75
26 Nb 0.8709 0.3616 0.7092  4 Cl 2.45-2.51, 2 Nb 2.57-2.67

## Properties
- Space-group type: Cc (9)
- Electronic total energy: -5.31 eV/atom

No. 11
Entry from the Alexandria database: NbVCl2 after structural relaxation (PBE).

Lattice parameters (Å, degrees): 4.2047 4.2047 8.5584 75.78 75.78 90.00
Last column: nearest neighbours and their distance in Å.
Fractional positions:
1 Cl 0.1301 0.6250 0.2500  2 V 2.49, 2 Nb 2.51
2 Cl 0.3750 0.3801 0.7500  2 V 2.49, 2 Nb 2.51
3 Cl 0.6199 0.1250 0.2500  2 V 2.49, 2 Nb 2.51
4 Cl 0.8750 0.8699 0.7500  2 V 2.49, 2 Nb 2.51
5 Nb 0.0000 0.0000 0.0000  4 Cl 2.51
6 Nb 0.7500 0.2500 0.5000  4 Cl 2.51
7 V 0.5000 0.5000 0.0000  4 Cl 2.49
8 V 0.2500 0.7500 0.5000  4 Cl 2.49

## Properties
- Space-group type: I-42d (122)
- Energy relative to the lowest polymorph listed for this composition: 221 meV per atom
- Electronic total energy: -5.68 eV/atom